## Fe3W (GGA-PBEsol)

Data for an optimized crystal structure of Fe3W.

Total moment (μB per atom): 1.39
Energy of formation (eV per atom): 0.062
Final energy (eV for the cell shown): -80.9
DOS(E_F) (states/eV/cell): 4.188
Space-group type: Pm-3n (223)

Cell: 4.595 4.595 4.595 Å, 90.00 90.00 90.00°
Atoms (fractional coordinates):
Fe1 0.000 0.250 0.500
Fe2 0.000 0.750 0.500
Fe3 0.250 0.500 0.000
Fe4 0.500 0.000 0.250
Fe5 0.500 0.000 0.750
Fe6 0.750 0.500 0.000
W1 0.000 0.000 0.000
W2 0.500 0.500 0.500